No. 1
{"formula": "KZrTa2", "functional": "PBE", "state": "relaxed", "cell": [[3.382, 0.000, 0.000], [0.000, 3.382, 0.000], [0.000, 0.000, 9.752]], "species": ["K", "Zr", "Ta", "Ta"], "fractional_positions": [[0.000, 0.000, 0.000], [0.500, 0.500, 0.640], [0.000, 0.000, 0.467], [0.500, 0.500, 0.328]], "delta_e_f_ev_per_atom": 0.54, "crystal_system": "tetragonal", "e_above_lowest_polymorph_ev_per_atom": 0.0000, "space_group": "P4mm (99)"}

=====

No. 2
{"formula": "Rb2NbSeI6", "functional": "PBE", "state": "relaxed", "cell": [[-4.569, 4.569, 5.565], [4.569, -4.569, 5.565], [4.569, 4.569, -5.565]], "species": ["Rb", "Rb", "Nb", "Se", "I", "I", "I", "I", "I", "I"], "fractional_positions": [[0.250, 0.750, 0.500], [0.750, 0.250, 0.500], [0.000, 0.000, 0.000], [0.500, 0.500, 0.000], [0.220, 0.220, 0.439], [0.220, 0.780, 0.000], [0.253, 0.253, 0.000], [0.747, 0.747, 0.000], [0.780, 0.220, 0.000], [0.780, 0.780, 0.561]], "crystal_system": "tetragonal", "e_form_raw_ev_per_atom": -0.59, "space_group": "I4/mmm (139)"}

=====

No. 3
{"formula": "Ac3Sm2DyS6", "functional": "PBE", "state": "relaxed", "cell": [[3.542, -6.149, 0.000], [3.542, 6.149, 0.000], [-2.376, 0.000, 6.904]], "species": ["Ac", "Ac", "Ac", "Sm", "Sm", "Dy", "S", "S", "S", "S", "S", "S"], "fractional_positions": [[0.000, 0.000, 0.000], [0.331, 0.669, 0.000], [0.669, 0.331, 0.000], [0.167, 0.833, 0.500], [0.833, 0.167, 0.500], [0.500, 0.500, 0.500], [0.098, 0.425, 0.276], [0.248, 0.248, 0.727], [0.425, 0.098, 0.276], [0.575, 0.902, 0.724], [0.752, 0.752, 0.273], [0.902, 0.575, 0.724]], "crystal_system": "monoclinic", "e_form_raw_ev_per_atom": -2.00, "space_group": "C2/m (12)"}